<1>
A geometry-optimized NaLiBr structure, computed with PBE.

Summary:
Its density of states at the Fermi level is 0.8 states/eV per cell. For the spin magnetization, the calculation gives 0.00 μB/atom. As for the mass density: 2.1 g/cm3.

abc: 3.8905 3.8905 6.6066
angles: 90.00 90.00 120.00
With the nearest neighbours (Å) after each atom.
Fractional coordinates of all 3 atoms:
1 Na 0.0000 0.0000 0.0000  3 Br 3.17
2 Li 0.3333 0.6667 0.5338  3 Br 2.59
3 Br 0.6667 0.3333 0.3387  3 Li 2.59

=====

<2>
A geometry-optimized NaLiBr structure, computed with PBE.

Summary:
Its density of states at the Fermi level is 3.9 states/eV per cell. For the spin magnetization, the calculation gives 0.00 μB/atom. As for the mass density: 1.8 g/cm3.

abc: 7.4138 4.2904 12.9256
angles: 90.00 100.98 90.00
With the nearest neighbours (Å) after each atom.
Fractional coordinates of all 12 atoms:
1 Na 0.0000 0.0000 0.0000  1 Br 3.53, 3 Na 3.54
2 Na 0.0999 0.5000 0.8007  1 Br 3.51, 3 Na 3.54
3 Na 0.5000 0.5000 0.0000  1 Br 3.53, 3 Na 3.54
4 Na 0.5999 0.0000 0.8007  1 Br 3.51, 3 Na 3.54
5 Li 0.1617 0.0000 0.4885  4 Br 2.51-2.67
6 Li 0.4378 0.0000 0.3138  4 Br 2.52-2.67
7 Li 0.6617 0.5000 0.4885  4 Br 2.51-2.67
8 Li 0.9378 0.5000 0.3138  4 Br 2.52-2.67
9 Br 0.0076 0.5000 0.5242  4 Li 2.51-2.67
10 Br 0.0922 0.0000 0.2781  4 Li 2.52-2.67
11 Br 0.5076 0.0000 0.5242  4 Li 2.51-2.67
12 Br 0.5922 0.5000 0.2781  4 Li 2.52-2.67

=====

<2> (40 meV/atom below the next structure)

=====

<1>
A geometry-optimized NaLi3Br4 structure, computed with PBE.

Summary:
Its density of states at the Fermi level is 0.0 states/eV per cell. For the spin magnetization, the calculation gives 0.00 μB/atom. As for the mass density: 3.3 g/cm3.

abc: 5.6700 5.6700 5.6700
angles: 90.00 90.00 90.00
With the nearest neighbours (Å) after each atom.
Fractional coordinates of all 8 atoms:
1 Na 0.0000 0.0000 0.0000  6 Br 2.83
2 Li 0.0000 0.5000 0.5000  6 Br 2.83
3 Li 0.5000 0.0000 0.5000  6 Br 2.83
4 Li 0.5000 0.5000 0.0000  6 Br 2.83
5 Br 0.0000 0.0000 0.5000  4 Li 2.83, 2 Na 2.83
6 Br 0.0000 0.5000 0.0000  4 Li 2.83, 2 Na 2.83
7 Br 0.5000 0.0000 0.0000  4 Li 2.83, 2 Na 2.83
8 Br 0.5000 0.5000 0.5000  6 Li 2.83

=====

<2>
A geometry-optimized NaLi3Br4 structure, computed with PBE.

Summary:
Its density of states at the Fermi level is 0.0 states/eV per cell. For the spin magnetization, the calculation gives 0.00 μB/atom. As for the mass density: 2.8 g/cm3.

abc: 4.2463 9.6169 10.4987
angles: 90.00 90.00 90.00
With the nearest neighbours (Å) after each atom.
Fractional coordinates of all 16 atoms:
1 Na 0.0000 0.0000 0.0000  4 Br 2.84-2.86
2 Na 0.0000 0.5000 0.5000  4 Br 2.84-2.86
3 Li 0.0000 0.0000 0.3981  4 Br 2.53-2.64
4 Li 0.0000 0.5000 0.8981  4 Br 2.53-2.64
5 Li 0.5000 0.2138 0.6792  3 Br 2.52-2.55
6 Li 0.5000 0.2862 0.1792  3 Br 2.52-2.55
7 Li 0.5000 0.7138 0.1792  3 Br 2.52-2.55
8 Li 0.5000 0.7862 0.6792  3 Br 2.52-2.55
9 Br 0.0000 0.2084 0.5456  3 Li 2.53-2.55
10 Br 0.0000 0.2916 0.0456  3 Li 2.53-2.55
11 Br 0.0000 0.7084 0.0456  3 Li 2.53-2.55
12 Br 0.0000 0.7916 0.5456  3 Li 2.53-2.55
13 Br 0.5000 0.0000 0.2489  4 Li 2.64-2.85
14 Br 0.5000 0.0000 0.8176  2 Li 2.52
15 Br 0.5000 0.5000 0.3176  2 Li 2.52
16 Br 0.5000 0.5000 0.7489  4 Li 2.64-2.85

=====

<2> (7 meV/atom below the next structure)

=====

<1>
A geometry-optimized Na2LiTlBr6 structure, computed with PBE.

Summary:
For the spin magnetization, the calculation gives 0.00 μB/atom. As for the mass density: 3.8 g/cm3.

abc: 7.6976 7.6976 7.6976
angles: 60.00 60.00 60.00
With the nearest neighbours (Å) after each atom.
Fractional coordinates of all 10 atoms:
1 Na 0.2500 0.2500 0.2500  12 Br 3.85
2 Na 0.7500 0.7500 0.7500  12 Br 3.85
3 Li 0.0000 0.0000 0.0000  6 Br 2.68
4 Tl 0.5000 0.5000 0.5000  6 Br 2.76
5 Br 0.2466 0.2466 0.7534  1 Li 2.68, 1 Tl 2.76
6 Br 0.2466 0.7534 0.2466  1 Li 2.68, 1 Tl 2.76
7 Br 0.2466 0.7534 0.7534  1 Li 2.68, 1 Tl 2.76
8 Br 0.7534 0.2466 0.2466  1 Li 2.68, 1 Tl 2.76
9 Br 0.7534 0.2466 0.7534  1 Li 2.68, 1 Tl 2.76
10 Br 0.7534 0.7534 0.2466  1 Li 2.68, 1 Tl 2.76

=====

<2>
A geometry-optimized Na2LiTlBr6 structure, computed with PBE.

Summary:
Its density of states at the Fermi level is 0.0 states/eV per cell. For the spin magnetization, the calculation gives 0.00 μB/atom. As for the mass density: 3.9 g/cm3.

abc: 8.3021 8.3021 8.3021
angles: 50.64 50.64 50.64
With the nearest neighbours (Å) after each atom.
Fractional coordinates of all 10 atoms:
1 Na 0.0000 0.0000 0.0000  6 Br 3.02-3.03
2 Na 0.4961 0.4961 0.4961  6 Br 2.95-2.98
3 Li 0.8265 0.8265 0.8265  6 Br 2.74-2.89
4 Tl 0.1737 0.1737 0.1737  6 Br 2.79-2.84
5 Br 0.0725 0.7883 0.4192  1 Li 2.74, 1 Tl 2.84, 2 Na 2.95-3.02
6 Br 0.2260 0.5828 0.9156  1 Tl 2.79, 1 Li 2.89, 2 Na 2.98-3.03
7 Br 0.4192 0.0725 0.7883  1 Li 2.74, 1 Tl 2.84, 2 Na 2.95-3.02
8 Br 0.5828 0.9156 0.2260  1 Tl 2.79, 1 Li 2.89, 2 Na 2.98-3.03
9 Br 0.7883 0.4192 0.0725  1 Li 2.74, 1 Tl 2.84, 2 Na 2.95-3.02
10 Br 0.9156 0.2260 0.5828  1 Tl 2.79, 1 Li 2.89, 2 Na 2.98-3.03

=====

<2> (155 meV/atom below the next structure)

=====

<1>
A geometry-optimized LiNbBr2 structure, computed with PBE.

Summary:
Its density of states at the Fermi level is 0.0 states/eV per cell. For the spin magnetization, the calculation gives 0.00 μB/atom. As for the mass density: 5.9 g/cm3.

abc: 6.6354 6.6354 6.6354
angles: 90.00 90.00 90.00
With the nearest neighbours (Å) after each atom.
Fractional coordinates of all 16 atoms:
1 Li 0.0000 0.0000 0.0000  8 Br 2.87
2 Li 0.0000 0.5000 0.5000  8 Br 2.87
3 Li 0.5000 0.0000 0.5000  8 Br 2.87
4 Li 0.5000 0.5000 0.0000  8 Br 2.87
5 Nb 0.0000 0.0000 0.5000  8 Br 2.87
6 Nb 0.0000 0.5000 0.0000  8 Br 2.87
7 Nb 0.5000 0.0000 0.0000  8 Br 2.87
8 Nb 0.5000 0.5000 0.5000  8 Br 2.87
9 Br 0.2500 0.2500 0.2500  4 Nb 2.87, 4 Li 2.87
10 Br 0.2500 0.2500 0.7500  4 Nb 2.87, 4 Li 2.87
11 Br 0.2500 0.7500 0.2500  4 Nb 2.87, 4 Li 2.87
12 Br 0.2500 0.7500 0.7500  4 Nb 2.87, 4 Li 2.87
13 Br 0.7500 0.2500 0.2500  4 Nb 2.87, 4 Li 2.87
14 Br 0.7500 0.2500 0.7500  4 Nb 2.87, 4 Li 2.87
15 Br 0.7500 0.7500 0.2500  4 Nb 2.87, 4 Li 2.87
16 Br 0.7500 0.7500 0.7500  4 Nb 2.87, 4 Li 2.87

=====

<2>
A geometry-optimized LiNbBr2 structure, computed with PBE.

Summary:
Its density of states at the Fermi level is 4.0 states/eV per cell. For the spin magnetization, the calculation gives 1.00 μB/atom. As for the mass density: 3.9 g/cm3.

abc: 6.2873 6.2873 11.3110
angles: 90.00 90.00 90.00
With the nearest neighbours (Å) after each atom.
Fractional coordinates of all 16 atoms:
1 Li 0.0000 0.0000 0.0000  4 Br 2.52
2 Li 0.0000 0.5000 0.2500  4 Br 2.52
3 Li 0.5000 0.0000 0.7500  4 Br 2.52
4 Li 0.5000 0.5000 0.5000  4 Br 2.52
5 Nb 0.0000 0.0000 0.5000  4 Br 2.76
6 Nb 0.0000 0.5000 0.7500  4 Br 2.76
7 Nb 0.5000 0.0000 0.2500  4 Br 2.76
8 Nb 0.5000 0.5000 0.0000  4 Br 2.76
9 Br 0.2173 0.2500 0.1250  2 Li 2.52, 2 Nb 2.76
10 Br 0.2500 0.7173 0.3750  2 Li 2.52, 2 Nb 2.76
11 Br 0.2500 0.7827 0.8750  2 Li 2.52, 2 Nb 2.76
12 Br 0.2827 0.2500 0.6250  2 Li 2.52, 2 Nb 2.76
13 Br 0.7173 0.7500 0.6250  2 Li 2.52, 2 Nb 2.76
14 Br 0.7500 0.2173 0.8750  2 Li 2.52, 2 Nb 2.76
15 Br 0.7500 0.2827 0.3750  2 Li 2.52, 2 Nb 2.76
16 Br 0.7827 0.7500 0.1250  2 Li 2.52, 2 Nb 2.76

=====

<3>
A geometry-optimized LiNbBr2 structure, computed with PBE.

Summary:
Its density of states at the Fermi level is 9.1 states/eV per cell. For the spin magnetization, the calculation gives 0.00 μB/atom. As for the mass density: 5.1 g/cm3.

abc: 3.4055 3.4055 25.4081
angles: 90.00 90.00 120.00
With the nearest neighbours (Å) after each atom.
Fractional coordinates of all 12 atoms:
1 Li 0.0000 0.0000 0.0000  6 Br 2.58
2 Li 0.3333 0.6667 0.6667  6 Br 2.58
3 Li 0.6667 0.3333 0.3333  6 Br 2.58
4 Nb 0.0000 0.0000 0.5000  2 Br 2.57
5 Nb 0.3333 0.6667 0.1667  2 Br 2.57
6 Nb 0.6667 0.3333 0.8333  2 Br 2.57
7 Br 0.0000 0.0000 0.3988  1 Nb 2.57, 3 Li 2.58
8 Br 0.0000 0.0000 0.6012  1 Nb 2.57, 3 Li 2.58
9 Br 0.3333 0.6667 0.0655  1 Nb 2.57, 3 Li 2.58
10 Br 0.3333 0.6667 0.2678  1 Nb 2.57, 3 Li 2.58
11 Br 0.6667 0.3333 0.7322  1 Nb 2.57, 3 Li 2.58
12 Br 0.6667 0.3333 0.9345  1 Nb 2.57, 3 Li 2.58

=====

<3> (232 meV/atom below the next structure)